BeIrN3: PBEsol geometry, SCAN.

Computed properties:
The density comes out at 9.9 g cm⁻³. The calculation puts the uncorrected formation energy at 1681 meV/atom.

Unit cell a=3.443 b=3.443 c=3.443 alpha=90.00 beta=90.00 gamma=90.00
Fractional coordinates of all 5 atoms:
Be (0.000, 0.000, 0.000)
Ir (0.500, 0.500, 0.500)
N (0.000, 0.000, 0.500)
N (0.000, 0.500, 0.000)
N (0.500, 0.000, 0.000)